No. 1
Compound: LaCdGa4
Source: Alexandria
Functional: PBE-GGA
Structure: optimized geometry

Calculated values
Energy of formation   -0.28 eV per atom
M_tot   0.00 μB per formula unit
Space-group type   Pbam (55)
Calculated volume   536.0 Å³ per cell
Final energy   -0.1203 hartree per atom
ΔE to the lowest computed polymorph   0.0 meV/atom

abc: 4.169 8.163 15.750
angles: 90.00 90.00 90.00
Fractional positions:
Ga 0.500 0.871 0.036
Ga 0.500 0.629 0.536
Ga 0.500 0.381 0.050
Ga 0.500 0.983 0.304
Ga 0.500 0.619 0.950
Ga 0.500 0.291 0.311
Ga 0.500 0.209 0.811
Ga 0.500 0.017 0.696
Ga 0.500 0.129 0.964
Ga 0.500 0.371 0.464
Ga 0.500 0.709 0.689
Ga 0.500 0.791 0.189
Ga 0.500 0.881 0.450
Ga 0.500 0.119 0.550
Ga 0.500 0.483 0.196
Ga 0.500 0.517 0.804
Cd 0.000 0.139 0.409
Cd 0.000 0.861 0.591
Cd 0.000 0.639 0.091
Cd 0.000 0.361 0.909
La 0.000 0.871 0.850
La 0.000 0.129 0.150
La 0.000 0.629 0.350
La 0.000 0.371 0.650

=====

No. 2
Compound: La6CdGa5
Source: Alexandria
Functional: PBE-GGA
Structure: optimized geometry

Calculated values
Energy of formation   -0.53 eV per atom
M_tot   0.00 μB per formula unit
Space-group type   Cmmm (65)
Calculated volume   329.6 Å³ per cell
Final energy   -0.1590 hartree per atom

abc: 5.382 7.581 8.514
angles: 90.00 71.58 90.01
Fractional positions:
La 0.500 0.258 0.000
La 0.829 0.253 0.342
La 0.171 0.747 0.658
La 0.500 0.742 0.000
La 0.171 0.253 0.658
La 0.829 0.747 0.342
Ga 0.335 0.500 0.331
Ga 0.665 0.500 0.669
Ga 0.000 0.500 0.000
Ga 0.340 0.000 0.320
Ga 0.660 0.000 0.680
Cd 0.000 0.000 0.000

=====

No. 3
Compound: La4CdGa2
Source: Alexandria
Functional: PBE-GGA
Structure: optimized geometry

Calculated values
Energy of formation   0.07 eV per atom
M_tot   0.00 μB per formula unit
Space-group type   I4/mmm (139)
Calculated volume   258.7 Å³ per cell
Final energy   -0.1376 hartree per atom
ΔE to the lowest computed polymorph   458.1 meV/atom

abc: 5.867 5.867 8.586
angles: 70.02 70.02 90.00
Fractional positions:
La 0.500 0.000 0.000
La 0.000 0.500 0.000
La 0.793 0.793 0.414
La 0.207 0.207 0.586
Ga 0.403 0.403 0.195
Ga 0.597 0.597 0.805
Cd 0.000 0.000 0.000

=====

No. 4
Compound: La5Cd4Ga
Source: Alexandria
Functional: PBE-GGA
Structure: optimized geometry

Calculated values
Energy of formation   -0.38 eV per atom
M_tot   0.34 μB per formula unit
Space-group type   P4/mmm (123)
Calculated volume   296.8 Å³ per cell
Final energy   -0.1290 hartree per atom

abc: 3.874 3.874 19.782
angles: 90.00 90.00 90.00
Last column: magnetic moment on the atom in μB.
Fractional positions:
La 0.500 0.500 0.500  -0.08
La 0.500 0.500 0.910  0.01
La 0.500 0.500 0.704  0.10
La 0.500 0.500 0.090  0.01
La 0.500 0.500 0.296  0.10
Cd 0.000 0.000 0.806  0.01
Cd 0.000 0.000 0.398  0.00
Cd 0.000 0.000 0.194  0.01
Cd 0.000 0.000 0.602  0.00
Ga 0.000 0.000 0.000  0.00

=====

No. 5
Compound: La6CdGa
Source: Alexandria
Functional: PBE-GGA
Structure: optimized geometry

Calculated values
Energy of formation   -0.21 eV per atom
M_tot   0.00 μB per formula unit
Space-group type   I4/mmm (139)
Calculated volume   261.4 Å³ per cell
Final energy   -0.1617 hartree per atom
ΔE to the lowest computed polymorph   0.0 meV/atom

abc: 5.420 5.420 9.687
angles: 73.75 73.76 90.00
Fractional positions:
Ga 0.500 0.500 0.000
La 0.107 0.607 0.786
La 0.748 0.748 0.504
La 0.607 0.107 0.786
La 0.252 0.252 0.496
La 0.393 0.893 0.214
La 0.893 0.393 0.214
Cd 0.000 0.000 0.000

=====

No. 6
Compound: LaCd4Ga2
Source: Alexandria
Functional: PBE-GGA
Structure: optimized geometry

Calculated values
Energy of formation   -0.31 eV per atom
M_tot   0.00 μB per formula unit
Space-group type   Cmmm (65)
Calculated volume   158.7 Å³ per cell
Final energy   -0.0884 hartree per atom

abc: 4.441 4.467 8.306
angles: 105.60 90.00 90.00
Fractional positions:
Ga 0.500 0.577 0.154
Ga 0.500 0.423 0.846
Cd 0.500 0.822 0.643
Cd 0.000 0.683 0.366
Cd 0.000 0.317 0.634
Cd 0.500 0.178 0.357
La 0.000 0.000 0.000

=====

No. 7
Compound: La4CdGa2
Source: Alexandria
Functional: PBE-GGA
Structure: optimized geometry

Calculated values
Energy of formation   -0.39 eV per atom
M_tot   0.00 μB per formula unit
Space-group type   R-3m (166)
Calculated volume   210.9 Å³ per cell
Final energy   -0.1544 hartree per atom
ΔE to the lowest computed polymorph   0.0 meV/atom

abc: 5.339 5.339 9.084
angles: 72.91 72.91 60.00
Fractional positions:
Ga 0.254 0.254 0.237
Ga 0.746 0.746 0.763
La 0.616 0.616 0.152
La 0.384 0.384 0.848
La 0.132 0.132 0.605
La 0.868 0.868 0.395
Cd 0.000 0.000 0.000

=====

No. 8
Compound: LaCd3Ga
Source: Alexandria
Functional: PBE-GGA
Structure: optimized geometry

Calculated values
Energy of formation   0.03 eV per atom
M_tot   0.00 μB per formula unit
Space-group type   Pm-3m (221)
Calculated volume   137.1 Å³ per cell
Final energy   -0.0774 hartree per atom

abc: 5.156 5.156 5.156
angles: 90.00 90.00 90.00
Fractional positions:
Ga 0.000 0.000 0.000
Cd 0.500 0.000 0.000
Cd 0.000 0.000 0.500
Cd 0.000 0.500 0.000
La 0.500 0.500 0.500

=====

No. 9
Compound: La2CdGa3
Source: Alexandria
Functional: PBE-GGA
Structure: optimized geometry

Calculated values
Energy of formation   -0.58 eV per atom
M_tot   0.00 μB per formula unit
Space-group type   Imm2 (44)
Calculated volume   151.9 Å³ per cell
Final energy   -0.1429 hartree per atom
ΔE to the lowest computed polymorph   0.0 meV/atom

abc: 4.164 4.628 8.475
angles: 105.85 104.22 90.00
Fractional positions:
Ga 0.545 0.545 0.090
Ga 0.705 0.705 0.411
Ga 0.291 0.791 0.581
La 0.862 0.362 0.725
La 0.136 0.136 0.273
Cd 0.460 0.960 0.920

=====

No. 10
Compound: La6Cd2Ga
Source: Alexandria
Functional: PBE-GGA
Structure: optimized geometry

Calculated values
Energy of formation   -0.23 eV per atom
M_tot   0.00 μB per formula unit
Space-group type   P-3m1 (164)
Calculated volume   287.6 Å³ per cell
Final energy   -0.1491 hartree per atom
ΔE to the lowest computed polymorph   0.0 meV/atom

abc: 5.595 5.595 10.611
angles: 90.00 90.00 120.00
Fractional positions:
La 0.333 0.667 0.398
La 0.000 0.000 0.812
La 0.333 0.667 0.020
La 0.667 0.333 0.602
La 0.000 0.000 0.188
La 0.667 0.333 0.980
Cd 0.333 0.667 0.713
Cd 0.667 0.333 0.287
Ga 0.000 0.000 0.500

=====

No. 11
Compound: LaCdGa3
Source: Alexandria
Functional: PBE-GGA
Structure: optimized geometry

Calculated values
Energy of formation   0.74 eV per atom
M_tot   0.00 μB per formula unit
Space-group type   Pm-3m (221)
Calculated volume   191.3 Å³ per cell
Final energy   -0.0823 hartree per atom

abc: 5.762 5.762 5.762
angles: 90.00 90.00 90.00
Fractional positions:
Ga 0.000 0.000 0.500
Ga 0.500 0.000 0.000
Ga 0.000 0.500 0.000
Cd 0.500 0.500 0.500
La 0.000 0.000 0.000

=====

No. 12
Compound: La6Cd2Ga
Source: Alexandria
Functional: PBE-GGA
Structure: optimized geometry

Calculated values
Energy of formation   -0.21 eV per atom
M_tot   0.00 μB per formula unit
Space-group type   Immm (71)
Calculated volume   586.1 Å³ per cell
Final energy   -0.1482 hartree per atom
ΔE to the lowest computed polymorph   24.7 meV/atom

abc: 9.141 9.141 9.141
angles: 113.22 107.65 107.61
Fractional positions:
Cd 0.500 0.642 0.142
Cd 0.366 0.000 0.366
Cd 0.634 0.000 0.634
Cd 0.500 0.358 0.858
La 0.744 0.414 0.670
La 0.256 0.586 0.330
La 0.744 0.074 0.330
La 0.083 0.257 0.826
La 0.809 0.259 0.068
La 0.809 0.741 0.550
La 0.917 0.743 0.174
La 0.431 0.257 0.174
La 0.191 0.259 0.450
La 0.191 0.741 0.932
La 0.256 0.926 0.670
La 0.569 0.743 0.826
Ga 0.000 0.500 0.500
Ga 0.000 0.000 0.000

=====

No. 13
Compound: La4CdGa
Source: Alexandria
Functional: PBE-GGA
Structure: optimized geometry

Calculated values
Energy of formation   -0.28 eV per atom
M_tot   1.29 μB per formula unit
Space-group type   C2/m (12)
Calculated volume   188.7 Å³ per cell
Final energy   -0.1551 hartree per atom
ΔE to the lowest computed polymorph   0.0 meV/atom

abc: 3.953 6.662 8.689
angles: 111.26 76.85 72.74
Last column: magnetic moment on the atom in μB.
Fractional positions:
La 0.166 0.482 0.186  0.15
La 0.688 0.958 0.667  0.13
La 0.834 0.518 0.814  0.15
La 0.312 0.042 0.333  0.13
Cd 0.000 0.000 0.000  -0.01
Ga 0.500 0.500 0.500  -0.02

=====

No. 14
Compound: La3Cd4Ga2
Source: Alexandria
Functional: PBE-GGA
Structure: optimized geometry

Calculated values
Energy of formation   -0.44 eV per atom
M_tot   0.00 μB per formula unit
Space-group type   C2/m (12)
Calculated volume   235.1 Å³ per cell
Final energy   -0.1163 hartree per atom

abc: 4.923 6.191 8.914
angles: 73.67 73.97 66.57
Fractional positions:
Cd 0.931 0.740 0.399
Cd 0.294 0.369 0.043
Cd 0.069 0.260 0.601
Cd 0.706 0.631 0.957
La 0.000 0.000 0.000
La 0.667 0.334 0.333
La 0.333 0.666 0.667
Ga 0.606 0.061 0.726
Ga 0.394 0.939 0.274

=====

No. 15
Compound: La3Cd2Ga4
Source: Alexandria
Functional: PBE-GGA
Structure: optimized geometry

Calculated values
Energy of formation   -0.55 eV per atom
M_tot   0.00 μB per formula unit
Space-group type   C2/m (12)
Calculated volume   228.1 Å³ per cell
Final energy   -0.1376 hartree per atom

abc: 4.652 6.143 9.086
angles: 106.93 90.00 112.25
Fractional positions:
Cd 0.400 0.800 0.730
Cd 0.600 0.200 0.270
Ga 0.697 0.395 0.022
Ga 0.072 0.144 0.417
Ga 0.928 0.856 0.583
Ga 0.303 0.605 0.978
La 0.000 0.000 0.000
La 0.673 0.345 0.666
La 0.327 0.655 0.334

=====

No. 16
Compound: La4CdGa12
Source: Alexandria
Functional: PBE-GGA
Structure: optimized geometry

Calculated values
Energy of formation   -0.54 eV per atom
M_tot   0.00 μB per formula unit
Space-group type   Im-3m (229)
Calculated volume   372.3 Å³ per cell
Final energy   -0.1430 hartree per atom

abc: 7.849 7.849 7.849
angles: 109.47 109.47 109.47
Fractional positions:
Ga 0.500 0.250 0.750
Ga 0.000 0.681 0.681
Ga 0.750 0.500 0.250
Ga 0.250 0.750 0.500
Ga 0.500 0.750 0.250
Ga 0.750 0.250 0.500
Ga 0.681 0.000 0.681
Ga 0.319 0.319 0.000
Ga 0.319 0.000 0.319
Ga 0.250 0.500 0.750
Ga 0.681 0.681 0.000
Ga 0.000 0.319 0.319
Cd 0.000 0.000 0.000
La 0.000 0.000 0.500
La 0.500 0.500 0.500
La 0.000 0.500 0.000
La 0.500 0.000 0.000

=====

No. 17
Compound: La5CdGa2
Source: Alexandria
Functional: PBE-GGA
Structure: optimized geometry

Calculated values
Energy of formation   -0.37 eV per atom
M_tot   0.00 μB per formula unit
Space-group type   I4/mcm (140)
Calculated volume   500.7 Å³ per cell
Final energy   -0.1590 hartree per atom

abc: 8.005 8.005 9.649
angles: 114.51 114.51 90.00
Fractional positions:
La 0.500 0.500 0.000
La 0.816 0.972 0.289
La 0.972 0.472 0.289
La 0.028 0.528 0.711
La 0.184 0.028 0.711
La 0.000 0.000 0.000
La 0.316 0.816 0.289
La 0.472 0.316 0.289
La 0.528 0.684 0.711
La 0.684 0.184 0.711
Cd 0.750 0.750 0.500
Cd 0.250 0.250 0.500
Ga 0.884 0.616 0.000
Ga 0.616 0.116 0.000
Ga 0.116 0.384 0.000
Ga 0.384 0.884 0.000

=====

No. 18
Compound: La5Cd2Ga
Source: Alexandria
Functional: PBE-GGA
Structure: optimized geometry

Calculated values
Energy of formation   -0.30 eV per atom
M_tot   0.00 μB per formula unit
Space-group type   Pbam (55)
Calculated volume   499.8 Å³ per cell
Final energy   -0.1466 hartree per atom

abc: 5.527 6.850 13.200
angles: 90.00 90.00 90.00
Fractional positions:
Cd 0.500 0.111 0.854
Cd 0.500 0.389 0.354
Cd 0.500 0.611 0.646
Cd 0.500 0.889 0.146
La 0.000 0.660 0.219
La 0.500 0.639 0.903
La 0.500 0.139 0.597
La 0.000 0.340 0.781
La 0.000 0.840 0.719
La 0.500 0.861 0.403
La 0.500 0.361 0.097
La 0.000 0.000 0.000
La 0.000 0.160 0.281
La 0.000 0.500 0.500
Ga 0.000 0.500 0.000
Ga 0.000 0.000 0.500

=====

No. 19
Compound: La14CdGa
Source: Alexandria
Functional: PBE-GGA
Structure: optimized geometry

Calculated values
Energy of formation   -0.08 eV per atom
M_tot   0.00 μB per formula unit
Space-group type   P4/mmm (123)
Calculated volume   542.2 Å³ per cell
Final energy   -0.1704 hartree per atom

abc: 7.199 7.199 10.461
angles: 90.00 90.00 90.00
Fractional positions:
La 0.875 0.375 0.500
La 0.130 0.130 0.260
La 0.375 0.875 0.000
La 0.130 0.130 0.740
La 0.375 0.875 0.500
La 0.130 0.620 0.740
La 0.620 0.620 0.740
La 0.620 0.620 0.260
La 0.620 0.130 0.260
La 0.875 0.875 0.000
La 0.875 0.375 0.000
La 0.375 0.375 0.000
La 0.620 0.130 0.740
La 0.130 0.620 0.260
Ga 0.375 0.375 0.500
Cd 0.875 0.875 0.500

=====

No. 20
Compound: La2MgCdGa
Source: Alexandria
Functional: PBE-GGA
Structure: optimized geometry

Calculated values
Energy of formation   0.43 eV per atom
M_tot   0.90 μB per formula unit
Space-group type   P4/mmm (123)
Calculated volume   189.7 Å³ per cell
Final energy   -0.0975 hartree per atom

abc: 6.077 5.136 6.077
angles: 90.00 90.00 90.00
Last column: magnetic moment on the atom in μB.
Fractional positions:
Cd 0.000 0.500 0.000  0.01
La 0.000 0.000 0.500  -0.13
La 0.500 0.000 0.000  -0.17
Mg 0.000 0.000 0.000  -0.02
Ga 0.500 0.500 0.500  -0.04